DFT (PBE) results for SrDyZnSn after structural relaxation.

Computed properties:
formation enthalpy at 0 K	-0.397	eV per atom
DOS(E_F)	12.833	states/eV per cell
spin magnetization	0.000	μB/f.u.

CIF file:
```
data_SrDyZnSn
_chemical_formula_sum 'Sr4 Dy4 Zn4 Sn4'
_cell_length_a 7.631
_cell_length_b 7.631
_cell_length_c 7.631
_cell_angle_alpha 90.00
_cell_angle_beta 90.00
_cell_angle_gamma 90.00
_space_group_name_H-M_alt 'F -4 3 m'
_space_group_IT_number 216
_space_group_name_Hall 'F -4 2 3'
loop_
_atom_site_label
_atom_site_fract_x
_atom_site_fract_y
_atom_site_fract_z
Sr1 0.000 0.000 0.000
Dy1 0.000 0.000 0.500
Zn1 0.250 0.250 0.250
Sn1 0.250 0.250 0.750
```